Compound: NaFeI2N
Source: Alexandria
Functional: GGA-PBE
Structure: relaxed Values from VASP.

Results
**Energy**: -13.79 eV for the cell shown
**Calculated density**: 4.2 g/cm3
**Energy above the most stable polymorph in this dataset**: 1544 meV/atom
**E_form (uncorrected)**: 1484 meV per atom
**SG**: P4/mmm
**D(E_F)**: 2.42 states/eV/atom
**Crystal system**: tetragonal

Geometry as Quantum ESPRESSO input:
```
&SYSTEM
  ibrav = 0, nat = 5, ntyp = 4
/
ATOMIC_SPECIES
I 126.90 I.upf
Na 22.99 Na.upf
Fe 55.84 Fe.upf
N 14.01 N.upf
CELL_PARAMETERS angstrom
5.666 0.000 0.000
0.000 5.666 0.000
0.000 0.000 4.272
ATOMIC_POSITIONS angstrom
I 0.000 2.833 0.000
I 2.833 0.000 0.000
Na 0.000 0.000 0.000
Fe 2.833 2.833 2.136
N 0.000 0.000 2.136
```